Record 1
Density functional theory data (GGA-PBEsol) for a relaxed structure of Sr5V3O13.

Cell lengths 10.0139, 10.0139, 7.3980 Å; angles 90.00, 90.00, 120.00 degrees
Space group P6_3 (No. 173)
One atom of each set of equivalent atoms:
Sr1 0.0095 0.7540 0.0000 (multiplicity 6)
Sr2 0.3333 0.6667 0.2487 (multiplicity 2)
Sr3 0.3333 0.6667 0.7511 (multiplicity 2)
V1 0.0330 0.6341 0.5000 (multiplicity 6)
O1 0.0000 0.0000 0.0007 (multiplicity 2)
O2 0.0945 0.7524 0.6840 (multiplicity 6)
O3 0.0944 0.7525 0.3160 (multiplicity 6)
O4 0.1299 0.5325 0.4999 (multiplicity 6)
O5 0.1641 0.4839 0.0000 (multiplicity 6)

uncorrected formation energy	-2.79	eV per atom
V	15.30	Å³ per atom
calculated density	4.13	Mg/m³
size of the total moment	2.24	μB/cell



Record 2
Density functional theory data (GGA-PBEsol) for a relaxed structure of Sr2VO4.

Cell lengths 14.4456, 5.8546, 10.4519 Å; angles 90.00, 90.00, 90.00 degrees
Space group Pna2_1 (No. 33)
One atom of each set of equivalent atoms:
Sr1 0.0246 0.2224 0.1068 (multiplicity 4)
Sr2 0.0979 0.2330 0.7365 (multiplicity 4)
Sr3 0.1491 0.7049 0.3567 (multiplicity 4)
Sr4 0.2053 0.6809 0.0000 (multiplicity 4)
V1 0.0272 0.2606 0.4434 (multiplicity 4)
V2 0.2304 0.7830 0.7120 (multiplicity 4)
O1 0.0196 0.4715 0.8906 (multiplicity 4)
O2 0.0266 0.0369 0.3310 (multiplicity 4)
O3 0.0442 0.8166 0.0774 (multiplicity 4)
O4 0.1350 0.3438 0.5062 (multiplicity 4)
O5 0.1469 0.8506 0.5919 (multiplicity 4)
O6 0.1613 0.4121 0.1693 (multiplicity 4)
O7 0.2023 0.9774 0.8414 (multiplicity 4)
O8 0.2340 0.5002 0.7807 (multiplicity 4)

E above lowest polymorph	11.5	kJ/mol of atoms
uncorrected formation energy	-2.71	eV per atom
V	15.78	Å³ per atom
calculated density	4.36	Mg/m³
size of the total moment	8.01	μB/cell



Record 3
Density functional theory data (GGA-PBEsol) for a relaxed structure of Sr2V2O7.

Cell lengths 7.0137, 7.0640, 12.9120 Å; angles 99.28, 93.46, 91.04 degrees
Space group P-1 (No. 2)
One atom of each set of equivalent atoms:
Sr1 0.0754 0.3428 0.3436 (multiplicity 2)
Sr2 0.2487 0.7317 0.1530 (multiplicity 2)
Sr3 0.3273 0.2871 0.6395 (multiplicity 2)
Sr4 0.3677 0.8722 0.8621 (multiplicity 2)
V1 0.1590 0.8200 0.4182 (multiplicity 2)
V2 0.1632 0.1949 0.0891 (multiplicity 2)
V3 0.2190 0.3967 0.8903 (multiplicity 2)
V4 0.4472 0.8019 0.6135 (multiplicity 2)
O1 0.0094 0.3277 0.5447 (multiplicity 2)
O2 0.0103 0.8725 0.8394 (multiplicity 2)
O3 0.0484 0.9733 0.3516 (multiplicity 2)
O4 0.0697 0.2814 0.9720 (multiplicity 2)
O5 0.0725 0.4331 0.7872 (multiplicity 2)
O6 0.3014 0.3635 0.1658 (multiplicity 2)
O7 0.3024 0.6582 0.6717 (multiplicity 2)
O8 0.3023 0.6752 0.3404 (multiplicity 2)
O9 0.3058 0.9389 0.5318 (multiplicity 2)
O10 0.3087 0.0073 0.0530 (multiplicity 2)
O11 0.3143 0.6024 0.9576 (multiplicity 2)
O12 0.3828 0.3217 0.4517 (multiplicity 2)
O13 0.3909 0.2495 0.8389 (multiplicity 2)
O14 0.4522 0.0352 0.2888 (multiplicity 2)

uncorrected formation energy	-2.80	eV per atom
V	14.32	Å³ per atom
calculated density	4.10	Mg/m³
size of the total moment	0.00	μB/cell



Record 4
Density functional theory data (GGA-PBEsol) for a relaxed structure of SrV10O15.

Cell lengths 11.1487, 9.9413, 8.8955 Å; angles 90.00, 90.00, 90.00 degrees
Space group Cmce (No. 64)
One atom of each set of equivalent atoms:
Sr1 0.0000 0.0000 0.0000 (multiplicity 4)
V1 0.0000 0.1766 0.3796 (multiplicity 8)
V2 0.1275 0.0991 0.6173 (multiplicity 16)
V3 0.2468 0.1689 0.3952 (multiplicity 16)
O1 0.0000 0.0000 0.5000 (multiplicity 4)
O2 0.0000 0.1681 0.7494 (multiplicity 8)
O3 0.1166 0.2284 0.9973 (multiplicity 16)
O4 0.1273 0.0838 0.2596 (multiplicity 16)
O5 0.2439 0.0000 0.0000 (multiplicity 8)
O6 0.2500 0.1776 0.7500 (multiplicity 8)

uncorrected formation energy	-2.37	eV per atom
V	9.48	Å³ per atom
calculated density	5.64	Mg/m³
size of the total moment	0.02	μB/cell



Record 5
Density functional theory data (GGA-PBEsol) for a relaxed structure of SrV2ZnO7.

Cell lengths 7.4279, 6.6445, 13.3618 Å; angles 90.00, 117.50, 90.00 degrees
Space group P2_1/c (No. 14)
One atom of each set of equivalent atoms:
Sr1 0.2285 0.1491 0.4765 (multiplicity 4)
V1 0.2179 0.6554 0.4624 (multiplicity 4)
V2 0.3059 0.5883 0.7207 (multiplicity 4)
Zn1 0.2087 0.1087 0.7324 (multiplicity 4)
O1 0.0166 0.6775 0.9214 (multiplicity 4)
O2 0.1689 0.6974 0.1936 (multiplicity 4)
O3 0.1995 0.0272 0.8701 (multiplicity 4)
O4 0.2273 0.0889 0.2828 (multiplicity 4)
O5 0.2548 0.5044 0.5811 (multiplicity 4)
O6 0.4160 0.6966 0.9938 (multiplicity 4)
O7 0.4409 0.1316 0.6988 (multiplicity 4)

uncorrected formation energy	-2.41	eV per atom
V	13.29	Å³ per atom
calculated density	4.17	Mg/m³
size of the total moment	0.00	μB/cell



Record 6
Density functional theory data (GGA-PBEsol) for a relaxed structure of SrWO4.

Cell lengths 5.4146, 5.4146, 11.8398 Å; angles 90.00, 90.00, 90.00 degrees
Space group I4_1/a (No. 88, origin choice 2)
One atom of each set of equivalent atoms:
Sr1 0.0000 0.2500 0.1250 (multiplicity 4)
W1 0.0000 0.2500 0.6250 (multiplicity 4)
O1 0.1450 0.0144 0.7090 (multiplicity 16)

uncorrected formation energy	-2.63	eV per atom
V	14.46	Å³ per atom
calculated density	6.42	Mg/m³
size of the total moment	0.00	μB/cell